1.
The following is a GGA-PBE calculation of a relaxed PaCu4Ag crystal, from OQMD via LeMat-Bulk.

Results
Space-group type ... F-43m, No. 216
ΔE_f ... -79 meV/atom

Lattice parameters (Å, degrees): 5.053 5.053 5.053 60.00 60.00 60.00
Fractional positions:
Cu 0.374 0.374 0.374
Cu 0.374 0.374 0.879
Cu 0.879 0.374 0.374
Cu 0.374 0.879 0.374
Pa 0.750 0.750 0.750
Ag 0.000 0.000 0.000

2.
The following is a GGA-PBE calculation of a relaxed RePtNO crystal, from OQMD via LeMat-Bulk.

Results
Space-group type ... P4/nmm, No. 129

Lattice parameters (Å, degrees): 3.832 3.832 6.226 90.00 90.00 90.00
Fractional positions:
Pt 0.500 0.000 0.183
Pt 0.000 0.500 0.817
O 0.000 0.000 0.000
O 0.500 0.500 0.000
N 0.500 0.000 0.632
N 0.000 0.500 0.368
Re 0.500 0.500 0.500
Re 0.000 0.000 0.500

3.
The following is a GGA-PBE calculation of a relaxed Ho3In3Ni2Pd crystal, from OQMD via LeMat-Bulk.

Results
Space-group type ... P-62m, No. 189

Lattice parameters (Å, degrees): 7.546 7.546 3.800 90.00 90.00 120.00
Fractional positions:
Ho 0.000 0.591 0.000
Ho 0.591 0.000 0.000
Ho 0.409 0.409 0.000
In 0.733 0.733 0.500
In 0.000 0.267 0.500
In 0.267 0.000 0.500
Ni 0.667 0.333 0.500
Ni 0.333 0.667 0.500
Pd 0.000 0.000 0.000

4.
The following is a GGA-PBE calculation of a relaxed Gd4InGe4Pd2 crystal, from OQMD via LeMat-Bulk.

Results
Space-group type ... C2/m, No. 12

Lattice parameters (Å, degrees): 8.264 8.264 7.194 107.25 107.25 30.26
Fractional positions:
Pd 0.782 0.782 0.361
Pd 0.218 0.218 0.639
Gd 0.656 0.656 0.926
Gd 0.412 0.412 0.616
Gd 0.588 0.588 0.384
Gd 0.344 0.344 0.074
Ge 0.939 0.939 0.339
Ge 0.806 0.806 0.752
Ge 0.194 0.194 0.248
Ge 0.061 0.061 0.661
In 0.000 0.000 0.000

5.
The following is a GGA-PBE calculation of a relaxed Y2TmAl3FeCu2 crystal, from OQMD via LeMat-Bulk.

Results
Space-group type ... Amm2, No. 38

Lattice parameters (Å, degrees): 3.817 7.159 7.159 119.99 90.00 90.00
Fractional positions:
Al 0.500 0.238 0.238
Al 0.500 0.761 0.999
Al 0.500 0.999 0.761
Fe 0.000 0.996 0.996
Tm 0.000 0.586 0.586
Y 0.000 0.001 0.417
Y 0.000 0.417 0.001
Cu 0.500 0.337 0.665
Cu 0.500 0.665 0.337

6.
The following is a GGA-PBE calculation of a relaxed Hf2Pb3Au crystal, from OQMD via LeMat-Bulk.

Results
Space-group type ... P4mm, No. 99

Lattice parameters (Å, degrees): 3.715 3.715 10.323 90.00 90.00 90.00
Fractional positions:
Pb 0.500 0.500 0.653
Pb 0.500 0.500 0.324
Pb 0.000 0.000 0.847
Au 0.000 0.000 0.159
Hf 0.000 0.000 0.491
Hf 0.500 0.500 0.027

| no. | DFT total energy (eV/cell) |
| --- | --- |
| 1 | -27.7 |
| 2 | -60.9 |
| 3 | -43.6 |
| 4 | -59.9 |
| 5 | -47.9 |
| 6 | -33.6 |